[1]
The following is a PBE calculation of a relaxed structure of C2Se, from Alexandria via LeMat-Bulk.

CIF file:
```
data_C2Se
_chemical_formula_sum 'C2 Se1'
_cell_length_a 2.5579
_cell_length_b 2.5579
_cell_length_c 8.5271
_cell_angle_alpha 90.00
_cell_angle_beta 90.00
_cell_angle_gamma 120.00
_space_group_name_H-M_alt 'P 1'
_space_group_IT_number 1
_space_group_name_Hall 'P 1'
loop_
_atom_site_label
_atom_site_type_symbol
_atom_site_fract_x
_atom_site_fract_y
_atom_site_fract_z
C1 C 0.3333 0.6667 0.0000
C2 C 0.6667 0.3333 0.0000
Se1 Se 0.0000 0.0000 0.5000
```

Summary:
Symmetry: P6/mmm (191)
Final energy in eV/cell: -20.8
Theoretical density in g cm⁻³: 3.539
Energy relative to the elements, uncorrected in eV/atom: 0.384

[2]
The following is a PBE calculation of a relaxed structure of CSe5, from Alexandria via LeMat-Bulk.

CIF file:
```
data_CSe5
_chemical_formula_sum 'C1 Se5'
_cell_length_a 3.2140
_cell_length_b 3.2140
_cell_length_c 11.1188
_cell_angle_alpha 90.00
_cell_angle_beta 90.00
_cell_angle_gamma 90.00
_space_group_name_H-M_alt 'P 1'
_space_group_IT_number 1
_space_group_name_Hall 'P 1'
loop_
_atom_site_label
_atom_site_type_symbol
_atom_site_fract_x
_atom_site_fract_y
_atom_site_fract_z
C1 C 0.0000 0.0000 0.0000
Se1 Se 0.0000 0.0000 0.3371
Se2 Se 0.0000 0.0000 0.6629
Se3 Se 0.5000 0.5000 0.1073
Se4 Se 0.5000 0.5000 0.5000
Se5 Se 0.5000 0.5000 0.8927
```

Summary:
Symmetry: P4/mmm (123)
Final energy in eV/cell: -19.1
Theoretical density in g cm⁻³: 5.882
Energy relative to the elements, uncorrected in eV/atom: 1.260

[3]
The following is a PBE calculation of a relaxed structure of CSe, from Alexandria via LeMat-Bulk.

CIF file:
```
data_CSe
_chemical_formula_sum 'C4 Se4'
_cell_length_a 4.3795
_cell_length_b 4.3795
_cell_length_c 8.1307
_cell_angle_alpha 90.00
_cell_angle_beta 90.00
_cell_angle_gamma 120.00
_space_group_name_H-M_alt 'P 1'
_space_group_IT_number 1
_space_group_name_Hall 'P 1'
loop_
_atom_site_label
_atom_site_type_symbol
_atom_site_fract_x
_atom_site_fract_y
_atom_site_fract_z
C1 C 0.3333 0.6667 0.0050
C2 C 0.3333 0.6667 0.4950
C3 C 0.6667 0.3333 0.5050
C4 C 0.6667 0.3333 0.9950
Se1 Se 0.0000 0.0000 0.2500
Se2 Se 0.0000 0.0000 0.7500
Se3 Se 0.3333 0.6667 0.2500
Se4 Se 0.6667 0.3333 0.7500
```

Summary:
Symmetry: P6_3/mmc (194)
Final energy in eV/cell: -28.7
Theoretical density in g cm⁻³: 4.474
Energy relative to the elements, uncorrected in eV/atom: 2.766

[4]
The following is a PBE calculation of a relaxed structure of C2Se, from Alexandria via LeMat-Bulk.

CIF file:
```
data_C2Se
_chemical_formula_sum 'C4 Se2'
_cell_length_a 3.2432
_cell_length_b 3.2432
_cell_length_c 7.4480
_cell_angle_alpha 90.00
_cell_angle_beta 90.00
_cell_angle_gamma 120.00
_space_group_name_H-M_alt 'P 1'
_space_group_IT_number 1
_space_group_name_Hall 'P 1'
loop_
_atom_site_label
_atom_site_type_symbol
_atom_site_fract_x
_atom_site_fract_y
_atom_site_fract_z
C1 C 0.3333 0.6667 0.1592
C2 C 0.3333 0.6667 0.3408
C3 C 0.6667 0.3333 0.6592
C4 C 0.6667 0.3333 0.8408
Se1 Se 0.0000 0.0000 0.0000
Se2 Se 0.0000 0.0000 0.5000
```

Summary:
Symmetry: P6_3/mmc (194)
Final energy in eV/cell: -34.5
Theoretical density in g cm⁻³: 5.041
Energy relative to the elements, uncorrected in eV/atom: 1.567

[5]
The following is a PBE calculation of a relaxed structure of CSe, from Alexandria via LeMat-Bulk.

CIF file:
```
data_CSe
_chemical_formula_sum 'C4 Se4'
_cell_length_a 7.8782
_cell_length_b 7.8782
_cell_length_c 7.8782
_cell_angle_alpha 92.08
_cell_angle_beta 92.08
_cell_angle_gamma 158.04
_space_group_name_H-M_alt 'P 1'
_space_group_IT_number 1
_space_group_name_Hall 'P 1'
loop_
_atom_site_label
_atom_site_type_symbol
_atom_site_fract_x
_atom_site_fract_y
_atom_site_fract_z
C1 C 0.1124 0.3461 0.4585
C2 C 0.3461 0.8876 0.2338
C3 C 0.6539 0.1124 0.7662
C4 C 0.8876 0.6539 0.5415
Se1 Se 0.0707 0.6878 0.7585
Se2 Se 0.3122 0.0707 0.3829
Se3 Se 0.6878 0.9293 0.6171
Se4 Se 0.9293 0.3122 0.2415
```

Summary:
Symmetry: I4/m (87)
Final energy in eV/cell: -38.8
Theoretical density in g cm⁻³: 3.366
Energy relative to the elements, uncorrected in eV/atom: 1.503

[6]
The following is a PBE calculation of a relaxed structure of CSe3, from Alexandria via LeMat-Bulk.

CIF file:
```
data_CSe3
_chemical_formula_sum 'C2 Se6'
_cell_length_a 8.9801
_cell_length_b 8.9801
_cell_length_c 4.1193
_cell_angle_alpha 90.00
_cell_angle_beta 90.00
_cell_angle_gamma 104.23
_space_group_name_H-M_alt 'P 1'
_space_group_IT_number 1
_space_group_name_Hall 'P 1'
loop_
_atom_site_label
_atom_site_type_symbol
_atom_site_fract_x
_atom_site_fract_y
_atom_site_fract_z
C1 C 0.1541 0.8459 0.7500
C2 C 0.8459 0.1541 0.2500
Se1 Se 0.0001 0.3096 0.2500
Se2 Se 0.9999 0.6904 0.7500
Se3 Se 0.3096 0.0001 0.7500
Se4 Se 0.4562 0.5438 0.7500
Se5 Se 0.5438 0.4562 0.2500
Se6 Se 0.6904 0.9999 0.2500
```

Summary:
Symmetry: Cmcm (63)
Final energy in eV/cell: -34.8
Theoretical density in g cm⁻³: 2.567
Energy relative to the elements, uncorrected in eV/atom: 0.573

[7]
The following is a PBE calculation of a relaxed structure of CSe3, from Alexandria via LeMat-Bulk.

CIF file:
```
data_CSe3
_chemical_formula_sum 'C1 Se3'
_cell_length_a 3.1028
_cell_length_b 3.1028
_cell_length_c 7.6566
_cell_angle_alpha 90.00
_cell_angle_beta 90.00
_cell_angle_gamma 90.00
_space_group_name_H-M_alt 'P 1'
_space_group_IT_number 1
_space_group_name_Hall 'P 1'
loop_
_atom_site_label
_atom_site_type_symbol
_atom_site_fract_x
_atom_site_fract_y
_atom_site_fract_z
C1 C 0.0000 0.0000 0.0000
Se1 Se 0.0000 0.0000 0.5000
Se2 Se 0.5000 0.5000 0.1566
Se3 Se 0.5000 0.5000 0.8434
```

Summary:
Symmetry: P4/mmm (123)
Final energy in eV/cell: -13.6
Theoretical density in g cm⁻³: 5.607
Energy relative to the elements, uncorrected in eV/atom: 1.525

[8]
The following is a PBE calculation of a relaxed structure of C2Se, from Alexandria via LeMat-Bulk.

CIF file:
```
data_C2Se
_chemical_formula_sum 'C4 Se2'
_cell_length_a 9.0001
_cell_length_b 9.0001
_cell_length_c 2.7465
_cell_angle_alpha 90.00
_cell_angle_beta 90.00
_cell_angle_gamma 150.72
_space_group_name_H-M_alt 'P 1'
_space_group_IT_number 1
_space_group_name_Hall 'P 1'
loop_
_atom_site_label
_atom_site_type_symbol
_atom_site_fract_x
_atom_site_fract_y
_atom_site_fract_z
C1 C 0.0000 0.0000 0.2500
C2 C 0.0000 0.0000 0.7500
C3 C 0.2262 0.7738 0.7500
C4 C 0.7738 0.2262 0.2500
Se1 Se 0.3028 0.6972 0.2500
Se2 Se 0.6972 0.3028 0.7500
```

Summary:
Symmetry: Cmcm (63)
Final energy in eV/cell: -34.4
Theoretical density in g cm⁻³: 3.143
Energy relative to the elements, uncorrected in eV/atom: 1.582

[9]
The following is a PBE calculation of a relaxed structure of C2Se, from Alexandria via LeMat-Bulk.

CIF file:
```
data_C2Se
_chemical_formula_sum 'C4 Se2'
_cell_length_a 2.5580
_cell_length_b 2.5580
_cell_length_c 17.8222
_cell_angle_alpha 90.00
_cell_angle_beta 90.00
_cell_angle_gamma 120.00
_space_group_name_H-M_alt 'P 1'
_space_group_IT_number 1
_space_group_name_Hall 'P 1'
loop_
_atom_site_label
_atom_site_type_symbol
_atom_site_fract_x
_atom_site_fract_y
_atom_site_fract_z
C1 C 0.3333 0.6667 0.0000
C2 C 0.3333 0.6667 0.5000
C3 C 0.6667 0.3333 0.0000
C4 C 0.6667 0.3333 0.5000
Se1 Se 0.3333 0.6667 0.2500
Se2 Se 0.6667 0.3333 0.7500
```

Summary:
Symmetry: P6_3/mmc (194)
Final energy in eV/cell: -41.6
Theoretical density in g cm⁻³: 3.386
Energy relative to the elements, uncorrected in eV/atom: 0.384

[10]
The following is a PBE calculation of a relaxed structure of CSe, from Alexandria via LeMat-Bulk.

CIF file:
```
data_CSe
_chemical_formula_sum 'C4 Se4'
_cell_length_a 8.3513
_cell_length_b 6.5728
_cell_length_c 6.0754
_cell_angle_alpha 82.54
_cell_angle_beta 51.30
_cell_angle_gamma 46.16
_space_group_name_H-M_alt 'P 1'
_space_group_IT_number 1
_space_group_name_Hall 'P 1'
loop_
_atom_site_label
_atom_site_type_symbol
_atom_site_fract_x
_atom_site_fract_y
_atom_site_fract_z
C1 C 0.0454 0.0454 0.7046
C2 C 0.2954 0.2954 0.9546
C3 C 0.7046 0.7046 0.0454
C4 C 0.9546 0.9546 0.2954
Se1 Se 0.0229 0.7271 0.0229
Se2 Se 0.2729 0.9771 0.2729
Se3 Se 0.7271 0.0229 0.7271
Se4 Se 0.9771 0.2729 0.9771
```

Summary:
Symmetry: Fddd (70)
Final energy in eV/cell: -36.5
Theoretical density in g cm⁻³: 3.821
Energy relative to the elements, uncorrected in eV/atom: 1.788

[11]
The following is a PBE calculation of a relaxed structure of CSe3, from Alexandria via LeMat-Bulk.

CIF file:
```
data_CSe3
_chemical_formula_sum 'C1 Se3'
_cell_length_a 5.9536
_cell_length_b 5.9536
_cell_length_c 5.9536
_cell_angle_alpha 152.58
_cell_angle_beta 95.24
_cell_angle_gamma 91.20
_space_group_name_H-M_alt 'P 1'
_space_group_IT_number 1
_space_group_name_Hall 'P 1'
loop_
_atom_site_label
_atom_site_type_symbol
_atom_site_fract_x
_atom_site_fract_y
_atom_site_fract_z
C1 C 0.0000 0.0000 0.0000
Se1 Se 0.1788 0.6788 0.5000
Se2 Se 0.5000 0.5000 0.0000
Se3 Se 0.8212 0.3212 0.5000
```

Summary:
Symmetry: Immm (71)
Final energy in eV/cell: -15.0
Theoretical density in g cm⁻³: 4.381
Energy relative to the elements, uncorrected in eV/atom: 1.160

[12]
The following is a PBE calculation of a relaxed structure of CSe3, from Alexandria via LeMat-Bulk.

CIF file:
```
data_CSe3
_chemical_formula_sum 'C4 Se12'
_cell_length_a 5.4402
_cell_length_b 11.5722
_cell_length_c 6.6344
_cell_angle_alpha 90.00
_cell_angle_beta 90.00
_cell_angle_gamma 90.00
_space_group_name_H-M_alt 'P 1'
_space_group_IT_number 1
_space_group_name_Hall 'P 1'
loop_
_atom_site_label
_atom_site_type_symbol
_atom_site_fract_x
_atom_site_fract_y
_atom_site_fract_z
C1 C 0.2433 0.2500 0.0644
C2 C 0.2567 0.7500 0.5644
C3 C 0.7433 0.2500 0.4356
C4 C 0.7567 0.7500 0.9356
Se1 Se 0.2434 0.1089 0.2032
Se2 Se 0.2432 0.2500 0.7851
Se3 Se 0.2434 0.3911 0.2032
Se4 Se 0.2566 0.6089 0.7032
Se5 Se 0.2568 0.7500 0.2851
Se6 Se 0.2566 0.8911 0.7032
Se7 Se 0.7434 0.1089 0.2968
Se8 Se 0.7432 0.2500 0.7149
Se9 Se 0.7434 0.3911 0.2968
Se10 Se 0.7566 0.6089 0.7968
Se11 Se 0.7568 0.7500 0.2149
Se12 Se 0.7566 0.8911 0.7968
```

Summary:
Symmetry: Pnma (62)
Final energy in eV/cell: -68.7
Theoretical density in g cm⁻³: 3.958
Energy relative to the elements, uncorrected in eV/atom: 0.624